First-principles (GGA-PBE) data for a geometry-optimized CdCu3O structure, as listed in Alexandria.

Formation energy from raw total energies = 1.4122 eV/atom
Polymorph energy (0 for the lowest one) = 1412.9 meV/atom
Energy = -2.22 eV per atom
SG = No. 221

a = 4.752 Å, b = 4.752 Å, c = 4.752 Å
α = 90.00°, β = 90.00°, γ = 90.00°
Element x y z (fractional)
Cu1 0.000 0.000 0.500
Cd1 0.000 0.000 0.000
Cu2 0.500 0.000 0.000
Cu3 0.000 0.500 0.000
O1 0.500 0.500 0.500